Record 1
The following is a PBE calculation of a relaxed structure of AcCd10Pd2, from Alexandria.

Structure (CIF):
```
data_AcCd10Pd2
_chemical_formula_sum 'Ac1 Cd10 Pd2'
_symmetry_space_group_name_H-M 'P 1'
_symmetry_Int_Tables_number 1
_cell_length_a 10.1224
_cell_length_b 7.7384
_cell_length_c 7.6619
_cell_angle_alpha 82.18
_cell_angle_beta 49.23
_cell_angle_gamma 48.58
loop_
_symmetry_equiv_pos_as_xyz
'x,y,z'
loop_
_atom_site_label
_atom_site_type_symbol
_atom_site_fract_x
_atom_site_fract_y
_atom_site_fract_z
Ac1 Ac 0.0000 0.0000 0.0000
Cd1 Cd 0.0000 0.5000 0.0000
Cd2 Cd 0.0171 0.6518 0.3482
Cd3 Cd 0.2836 0.5091 0.4909
Cd4 Cd 0.3482 0.9829 0.0171
Cd5 Cd 0.4909 0.7164 0.2836
Cd6 Cd 0.5000 0.0000 0.5000
Cd7 Cd 0.5091 0.2836 0.7164
Cd8 Cd 0.6518 0.0171 0.9829
Cd9 Cd 0.7164 0.4909 0.5091
Cd10 Cd 0.9829 0.3482 0.6518
Pd1 Pd 0.0000 0.0000 0.5000
Pd2 Pd 0.5000 0.5000 0.0000
```

Properties
The value obtained for the spin magnetization is 0.0 μB/cell. Its space group is Fmmm (69). Its formation energy is -0.247 eV per atom.

Record 2
The following is a PBE calculation of a relaxed structure of MnSe, from Alexandria.

Structure (CIF):
```
data_MnSe
_chemical_formula_sum 'Mn2 Se2'
_symmetry_space_group_name_H-M 'P 1'
_symmetry_Int_Tables_number 1
_cell_length_a 7.3797
_cell_length_b 7.3797
_cell_length_c 3.2962
_cell_angle_alpha 90.00
_cell_angle_beta 90.00
_cell_angle_gamma 154.18
loop_
_symmetry_equiv_pos_as_xyz
'x,y,z'
loop_
_atom_site_label
_atom_site_type_symbol
_atom_site_fract_x
_atom_site_fract_y
_atom_site_fract_z
Mn1 Mn 0.1963 0.8037 0.7500
Mn2 Mn 0.8037 0.1963 0.2500
Se1 Se 0.3733 0.6267 0.7500
Se2 Se 0.6267 0.3733 0.2500
```

Properties
The value obtained for the spin magnetization is 6.1 μB/cell. Its space group is Cmcm (63). The uncorrected formation energy is -0.30 eV per atom.